First-principles (PBE) data for a relaxed CsZrNb2 crystal, as listed in the Alexandria database.

```
CsZrNb2
1.0
-3.753 0.273 2.071
-0.405 -4.272 -0.171
2.993 -2.852 10.252
Zr Nb Cs
2 4 2
direct
0.250 0.750 0.500
0.500 0.500 0.000
0.593 0.125 0.250
0.375 0.407 0.750
0.875 0.843 0.750
0.157 0.625 0.250
0.750 0.250 0.500
0.000 0.000 0.000
```

Symmetry = I-42d, No. 122
Energy relative to the lowest polymorph listed for this composition = 15.4 kJ per mole of atoms
Energy of formation from the pure elements = 1.669 eV/atom

First-principles (PBE) data for a relaxed CsZrNb2 crystal, as listed in the Alexandria database.

```
CsZrNb2
1.0
0.000 3.567 3.567
3.567 0.000 3.567
3.567 3.567 0.000
Zr Nb Cs
1 2 1
direct
0.000 0.000 0.000
0.750 0.750 0.750
0.250 0.250 0.250
0.500 0.500 0.500
```

Symmetry = Fm-3m, No. 225
Energy relative to the lowest polymorph listed for this composition = 0.0 kJ per mole of atoms
Energy of formation from the pure elements = 1.509 eV/atom

First-principles (PBE) data for a relaxed CsNd2Ni crystal, as listed in the Alexandria database.

```
CsNd2Ni
1.0
-0.750 -0.963 -3.992
-0.791 -3.954 -1.080
-11.422 0.098 -0.059
Nd Cs Ni
2 1 1
direct
0.876 0.876 0.373
0.124 0.124 0.627
0.000 0.000 0.000
0.500 0.500 0.500
```

Symmetry = R-3m, No. 166
Energy of formation from the pure elements = 0.091 eV/atom

First-principles (PBE) data for a relaxed CsNd2NpO8 crystal, as listed in the Alexandria database.

```
CsNd2NpO8
1.0
-1.877 4.159 0.056
-0.540 -0.363 -5.387
-7.756 -2.791 0.722
O Nd Cs Np
8 2 1 1
direct
0.347 0.241 0.026
0.653 0.759 0.974
0.917 0.276 0.826
0.083 0.724 0.174
0.811 0.159 0.190
0.189 0.841 0.810
0.600 0.613 0.500
0.400 0.387 0.500
0.562 0.527 0.219
0.438 0.473 0.781
0.000 0.000 0.500
0.000 0.000 0.000
```

Symmetry = P-1, No. 2
Energy relative to the elements, uncorrected = -2.547 eV/atom

First-principles (PBE) data for a relaxed Cs2NdNp3O12 crystal, as listed in the Alexandria database.

```
Cs2NdNp3O12
1.0
7.896 -0.061 -0.043
3.846 6.896 -0.043
3.846 2.239 6.522
Np Cs O Nd
3 2 12 1
direct
0.000 0.500 0.000
0.000 0.000 0.500
0.500 0.000 0.000
0.381 0.381 0.381
0.619 0.619 0.619
0.306 0.306 0.927
0.923 0.354 0.923
0.354 0.923 0.923
0.077 0.077 0.646
0.073 0.694 0.694
0.927 0.306 0.306
0.694 0.694 0.073
0.694 0.073 0.694
0.077 0.646 0.077
0.923 0.923 0.354
0.306 0.927 0.306
0.646 0.077 0.077
0.000 0.000 0.000
```

Symmetry = R-3m, No. 166
Energy relative to the elements, uncorrected = -2.743 eV/atom

First-principles (PBE) data for a relaxed Cs3NdNp2S6 crystal, as listed in the Alexandria database.

```
Cs3NdNp2S6
1.0
-4.716 0.505 -5.470
-0.359 -5.592 4.584
-3.339 5.892 5.020
S Cs Np Nd
6 3 2 1
direct
0.403 0.061 0.183
0.061 0.403 0.183
0.597 0.939 0.817
0.939 0.597 0.817
0.719 0.719 0.182
0.281 0.281 0.818
0.500 0.500 0.500
0.165 0.835 0.500
0.835 0.165 0.500
0.333 0.667 0.000
0.667 0.333 0.000
0.000 0.000 0.000
```

Symmetry = C2/m, No. 12
Energy relative to the elements, uncorrected = -1.492 eV/atom

First-principles (PBE) data for a relaxed Cs2NdNp2S7 crystal, as listed in the Alexandria database.

```
Cs2NdNp2S7
1.0
-1.925 -2.427 4.132
0.065 -4.466 -2.593
11.821 -5.885 5.282
S Np Cs Nd
7 2 2 1
direct
0.070 0.570 0.860
0.500 0.500 0.000
0.318 0.318 0.363
0.682 0.682 0.637
0.570 0.070 0.860
0.430 0.930 0.140
0.930 0.430 0.140
0.591 0.591 0.819
0.409 0.409 0.181
0.187 0.187 0.626
0.813 0.813 0.374
0.000 0.000 0.000
```

Symmetry = I4/mmm, No. 139
Energy relative to the elements, uncorrected = -1.306 eV/atom

First-principles (PBE) data for a relaxed Cs2NdNpS4 crystal, as listed in the Alexandria database.

```
Cs2NdNpS4
1.0
4.206 0.000 0.000
0.000 7.296 0.122
0.000 -2.571 8.035
Cs Np S Nd
2 1 4 1
direct
0.500 0.000 0.500
0.000 0.500 0.500
0.500 0.500 0.000
0.500 0.233 0.186
0.500 0.767 0.814
0.000 0.279 0.819
0.000 0.721 0.181
0.000 0.000 0.000
```

Symmetry = P2/m, No. 10
Energy relative to the elements, uncorrected = -1.567 eV/atom

First-principles (PBE) data for a relaxed Cs2Nd2NpS6 crystal, as listed in the Alexandria database.

```
Cs2Nd2NpS6
1.0
-3.144 -6.114 -2.082
5.345 2.770 -3.918
4.718 -3.172 6.464
S Cs Nd Np
6 2 2 1
direct
0.255 0.255 0.322
0.940 0.620 0.321
0.060 0.380 0.679
0.380 0.060 0.679
0.745 0.745 0.678
0.620 0.940 0.321
0.830 0.170 0.000
0.170 0.830 0.000
0.666 0.334 0.500
0.334 0.666 0.500
0.000 0.000 0.500
```

Symmetry = C2/m, No. 12
Energy relative to the elements, uncorrected = -1.684 eV/atom

First-principles (PBE) data for a relaxed Cs2NdNp2Se6 crystal, as listed in the Alexandria database.

```
Cs2NdNp2Se6
1.0
-1.709 -6.961 -1.759
4.960 3.729 -3.995
5.194 -1.776 6.999
Se Np Nd Cs
6 2 1 2
direct
0.597 0.942 0.318
0.285 0.285 0.317
0.403 0.058 0.682
0.942 0.597 0.318
0.058 0.403 0.682
0.715 0.715 0.683
0.666 0.334 0.500
0.334 0.666 0.500
0.000 0.000 0.500
0.836 0.164 0.000
0.164 0.836 0.000
```

Symmetry = C2/m, No. 12
Energy relative to the elements, uncorrected = -1.409 eV/atom

First-principles (PBE) data for a relaxed CsNd2NpSe5 crystal, as listed in the Alexandria database.

```
CsNd2NpSe5
1.0
-3.803 0.901 3.596
2.418 -6.003 4.062
5.238 6.897 -0.112
Se Np Cs Nd
5 1 1 2
direct
0.000 0.000 0.000
0.655 0.922 0.309
0.345 0.078 0.691
0.345 0.613 0.691
0.655 0.387 0.309
0.500 0.000 0.000
0.000 0.500 0.000
0.794 0.794 0.589
0.206 0.206 0.411
```

Symmetry = Immm, No. 71
Energy relative to the elements, uncorrected = -1.513 eV/atom

First-principles (PBE) data for a relaxed Cs4NdNp3Se8 crystal, as listed in the Alexandria database.

```
Cs4NdNp3Se8
1.0
8.704 0.000 0.000
0.000 9.736 0.724
-4.352 -4.344 6.159
Se Cs Np Nd
8 4 3 1
direct
0.232 0.688 0.463
0.272 0.317 0.545
0.275 0.312 0.044
0.231 0.688 0.956
0.769 0.312 0.044
0.728 0.683 0.455
0.725 0.688 0.956
0.768 0.312 0.537
0.000 0.000 0.500
0.500 0.000 0.000
0.000 0.000 0.000
0.500 0.000 0.500
0.500 0.500 0.500
0.000 0.500 0.500
0.500 0.500 0.000
0.000 0.500 0.000
```

Symmetry = R-3m, No. 166
Energy relative to the elements, uncorrected = -1.351 eV/atom

no.,VASP energy (Ry/atom),D(E_F) (states/eV per cell),magnetic moment (μB/f.u.)
1,-0.420,13.969,0.000
2,-0.432,5.463,0.000
3,-0.290,4.440,0.001
4,-0.573,1.406,0.000
5,-0.630,10.518,2.000
6,-0.465,22.326,8.002
7,-0.471,16.473,5.000
8,-0.445,7.888,4.002
9,-0.451,6.135,3.000
10,-0.459,19.217,7.000
11,-0.444,10.977,3.994
12,-0.443,28.675,12.000